! Mg2HgOs PBE-GGA relaxed; values from VASP
! - final energy (Ry per atom) = -0.2582
! - DOS at the Fermi energy (states/eV/f.u.) = 2.43
! - E_form (meV per atom) = 167
&SYSTEM
  ibrav = 0, nat = 4, ntyp = 3
/
ATOMIC_SPECIES
Mg 24.30 Mg.upf
Hg 200.59 Hg.upf
Os 190.23 Os.upf
CELL_PARAMETERS angstrom
2.961 -3.920 0.000
2.961 3.920 0.000
0.000 0.000 3.027
ATOMIC_POSITIONS crystal
Mg 0.000 0.500 0.000
Mg 0.500 0.000 0.000
Hg 0.000 0.000 0.500
Os 0.500 0.500 0.500